[1]
{"formula": "LaNb2Au", "functional": "PBE-GGA", "state": "optimized geometry", "density_g_cm3": 9.49, "dos_at_fermi_per_ev_cell": 8.19, "polymorph_energy_ev_per_atom": 0.027, "e_form_mev_per_atom": 345, "total_magnetization_mub_per_cell": 0.0, "spacegroup": "I-42d", "cell": [[-0.6252, 1.3107, 3.8805], [3.4042, -2.0167, 1.2296], [7.2335, 8.3032, 0.5730]], "species": ["Nb", "Nb", "Nb", "Nb", "Au", "Au", "La", "La"], "frac_coords": [[0.6451, 0.1250, 0.2500], [0.1049, 0.6250, 0.2500], [0.3750, 0.3549, 0.7500], [0.8750, 0.8951, 0.7500], [0.0000, 0.0000, 0.0000], [0.7500, 0.2500, 0.5000], [0.5000, 0.5000, 0.0000], [0.2500, 0.7500, 0.5000]]}

***

[2]
{"formula": "La2NbAu", "functional": "PBE-GGA", "state": "optimized geometry", "density_g_cm3": 8.77, "dos_at_fermi_per_ev_cell": 1.89, "polymorph_energy_ev_per_atom": 0.000, "e_form_mev_per_atom": 35, "total_magnetization_mub_per_cell": 2.1, "spacegroup": "Fm-3m", "cell": [[-0.0267, -5.3052, 0.5726], [-3.4193, -2.3005, 3.3897], [-4.0933, -2.8652, -1.8734]], "species": ["Nb", "Au", "La", "La"], "frac_coords": [[0.0000, 0.0000, 0.0000], [0.5000, 0.5000, 0.5000], [0.2500, 0.2500, 0.2500], [0.7500, 0.7500, 0.7500]]}

***

[3]
{"formula": "LaNbAu3", "functional": "PBE-GGA", "state": "optimized geometry", "density_g_cm3": 10.14, "dos_at_fermi_per_ev_cell": 6.43, "polymorph_energy_ev_per_atom": 0.000, "e_form_mev_per_atom": 105, "total_magnetization_mub_per_cell": 0.0, "spacegroup": "Pm-3m", "cell": [[5.1273, 0.0000, 0.0000], [0.0000, 5.1273, 0.0000], [0.0000, 0.0000, 5.1273]], "species": ["Nb", "Au", "Au", "Au", "La"], "frac_coords": [[0.0000, 0.0000, 0.0000], [0.0000, 0.5000, 0.0000], [0.0000, 0.0000, 0.5000], [0.5000, 0.0000, 0.0000], [0.5000, 0.5000, 0.5000]]}

***

[4]
{"formula": "LaNbAu3", "functional": "PBE-GGA", "state": "optimized geometry", "density_g_cm3": 9.03, "dos_at_fermi_per_ev_cell": 6.47, "polymorph_energy_ev_per_atom": 1.092, "e_form_mev_per_atom": 1197, "total_magnetization_mub_per_cell": 0.0, "spacegroup": "Pm-3m", "cell": [[5.3283, 0.0000, 0.0000], [0.0000, 5.3283, 0.0000], [0.0000, 0.0000, 5.3283]], "species": ["Nb", "Au", "Au", "Au", "La"], "frac_coords": [[0.5000, 0.5000, 0.5000], [0.0000, 0.5000, 0.0000], [0.0000, 0.0000, 0.5000], [0.5000, 0.0000, 0.0000], [0.0000, 0.0000, 0.0000]]}